VASP calculation (PBE) on a geometry-optimized ScTc2P structure.

Output
* uncorrected energy: -33.26 eV per cell
* SG: No. 139

Unit cell a=5.289 b=5.289 c=5.289 alpha=139.53 beta=139.53 gamma=58.56
Atoms (fractional coordinates):
Sc 0.000 0.000 0.000
Tc 0.750 0.250 0.500
Tc 0.250 0.750 0.500
P 0.500 0.500 0.000



VASP calculation (PBE) on a geometry-optimized Ca2CuRhC structure.

Output
* uncorrected energy: -25.17 eV per cell
* SG: No. 123

Unit cell a=5.090 b=5.090 c=3.842 alpha=90.00 beta=90.00 gamma=90.00
Atoms (fractional coordinates):
Ca 0.000 0.500 0.000
Ca 0.500 0.000 0.000
Rh 0.000 0.000 0.500
C 0.000 0.000 0.000
Cu 0.500 0.500 0.500



VASP calculation (PBE) on a geometry-optimized BeRu2Au structure.

Output
* uncorrected energy: -24.94 eV per cell
* SG: No. 8

Unit cell a=4.508 b=4.508 c=5.113 alpha=63.85 beta=63.85 gamma=36.83
Atoms (fractional coordinates):
Ru 0.062 0.062 0.029
Ru 0.271 0.271 0.234
Au 0.446 0.446 0.612
Be 0.721 0.721 0.625



VASP calculation (PBE) on a geometry-optimized Ba2CeOs3O12 structure.

Output
* formation energy from raw total energies: -1.809 eV/atom
* uncorrected energy: -135.53 eV per cell
* SG: No. 166

Unit cell a=7.294 b=7.294 c=7.294 alpha=60.14 beta=60.14 gamma=60.14
Atoms (fractional coordinates):
Ba 0.634 0.634 0.634
Ba 0.366 0.366 0.366
Ce 0.000 0.000 0.000
Os 0.500 0.000 0.000
Os 0.000 0.500 0.000
Os 0.000 0.000 0.500
O 0.294 0.294 0.915
O 0.892 0.892 0.384
O 0.384 0.892 0.892
O 0.915 0.294 0.294
O 0.892 0.384 0.892
O 0.294 0.915 0.294
O 0.706 0.706 0.085
O 0.108 0.108 0.616
O 0.616 0.108 0.108
O 0.085 0.706 0.706
O 0.108 0.616 0.108
O 0.706 0.085 0.706



VASP calculation (PBE) on a geometry-optimized Nd6C2Br3O structure.

Output
* formation energy from raw total energies: -1.268 eV/atom
* uncorrected energy: -72.25 eV per cell
* SG: No. 12

Unit cell a=6.550 b=6.550 c=7.703 alpha=98.16 beta=98.16 gamma=120.01
Atoms (fractional coordinates):
Nd 0.940 0.606 0.819
Nd 0.726 0.726 0.182
Nd 0.060 0.394 0.181
Nd 0.606 0.940 0.819
Nd 0.274 0.274 0.818
Nd 0.394 0.060 0.181
C 0.334 0.666 0.000
C 0.666 0.334 0.000
Br 0.170 0.830 0.500
Br 0.830 0.170 0.500
Br 0.500 0.500 0.500
O 0.000 0.000 0.000



VASP calculation (PBE) on a geometry-optimized CePu2In3 structure.

Output
* uncorrected energy: -44.02 eV per cell
* SG: No. 123

Unit cell a=4.192 b=4.192 c=9.157 alpha=90.00 beta=90.00 gamma=90.00
Atoms (fractional coordinates):
Ce 0.500 0.500 0.500
Pu 0.500 0.500 0.829
Pu 0.500 0.500 0.171
In 0.000 0.000 0.000
In 0.000 0.000 0.668
In 0.000 0.000 0.332



The theoretical density results, record by record, are as follows: 7.316; 4.314; 12.284; 7.103; 6.929; 10.035 Mg/m³.